DFT (PBE) results for a relaxed CsCe2Y2O7 crystal.

Results
E, eV per formula unit: -97.61
Energy relative to the elements, uncorrected, eV per atom: -3.1046

abc: 4.6302 4.6307 10.3864
angles: 102.88 102.88 90.00
Last column: nearest neighbours and their distance in Å.
Sites, in units of the cell vectors:
O1 0.8646 0.3646 0.7291  1 Y 2.26, 2 Ce 2.36
O2 0.6354 0.1355 0.2708  1 Y 2.26, 2 Ce 2.36
O3 0.2633 0.2633 0.5265  4 Y 2.33, 1 Ce 2.47
O4 0.5000 0.4996 0.0000  2 Ce 2.19
O5 0.1354 0.6355 0.2709  1 Y 2.26, 2 Ce 2.36
O6 0.7367 0.7368 0.4734  4 Y 2.33, 1 Ce 2.47
O7 0.3646 0.8646 0.7292  1 Y 2.26, 2 Ce 2.36
Y1 0.2500 0.7501 0.5000  6 O 2.26-2.33
Y2 0.7500 0.2500 0.4999  6 O 2.26-2.33
Ce1 0.3887 0.3886 0.7774  5 O 2.19-2.36
Ce2 0.6113 0.6113 0.2226  5 O 2.19-2.36
Cs1 0.0000 0.9998 0.0000  12 O 3.27-3.53